No. 1
First-principles (PBE-GGA) data for a relaxed Dy2AlGa6 crystal, as listed in the Alexandria database.

```
Dy2AlGa6
1.0
5.932 0.000 0.000
-2.966 5.137 0.000
0.000 0.000 5.672
Dy Al Ga
2 1 6
Cartesian
0.000 3.425 0.816
2.966 1.712 4.857
0.000 0.000 0.000
0.000 1.850 3.790
-1.363 4.212 3.790
1.603 0.925 1.882
1.363 4.212 3.790
4.329 0.925 1.882
2.966 3.287 1.882
```

Summary:
DFT formation energy = -471 meV/atom
density of states at the Fermi level = 0.199 states/eV per atom
volume = 19.2 Å³ per atom


No. 2
First-principles (PBE-GGA) data for a relaxed Ac2NdAs3Pd4 crystal, as listed in the Alexandria database.

```
Ac2NdAs3Pd4
1.0
4.423 0.000 0.000
0.000 4.423 0.000
0.000 0.000 11.607
Ac Nd As Pd
2 1 3 4
Cartesian
0.000 2.211 2.474
2.211 0.000 9.133
0.000 0.000 5.803
0.000 2.211 10.173
2.211 0.000 1.434
2.211 2.211 5.803
0.000 0.000 0.000
0.000 2.211 7.658
2.211 0.000 3.948
2.211 2.211 0.000
```

Summary:
DFT formation energy = -945 meV/atom
density of states at the Fermi level = 0.404 states/eV per atom
volume = 22.7 Å³ per atom


No. 3
First-principles (PBE-GGA) data for a relaxed Sr2NpScO6 crystal, as listed in the Alexandria database.

```
Sr2NpScO6
1.0
5.873 0.000 0.000
0.000 5.941 0.000
-5.858 0.000 8.333
Sr Np Sc O
4 2 2 12
Cartesian
-0.044 0.212 2.079
-2.973 2.758 6.245
2.988 3.183 2.087
0.059 5.728 6.254
2.936 0.000 0.000
0.007 2.970 4.166
-2.929 0.000 4.166
0.000 2.970 0.000
-4.620 1.258 7.985
-1.691 1.713 3.818
-4.171 4.224 7.971
-1.242 4.687 3.805
-2.452 0.138 6.243
0.477 2.833 2.077
-0.462 3.108 6.256
2.467 5.803 2.090
1.257 1.254 4.528
4.186 1.716 0.362
1.706 4.228 4.515
4.635 4.683 0.348
```

Summary:
energy relative to the elements, uncorrected = -3.15 eV per atom
density of states at the Fermi level = 0.751 states/eV per atom
volume = 14.5 Å³ per atom


No. 4
First-principles (PBE-GGA) data for a relaxed LiWAu2 crystal, as listed in the Alexandria database.

```
LiWAu2
1.0
3.486 -3.499 0.000
3.486 3.499 0.000
0.000 0.000 2.729
Li W Au
1 1 2
Cartesian
0.000 0.000 0.000
3.486 0.000 0.000
1.743 1.750 1.364
1.743 -1.750 1.364
```

Summary:
DFT formation energy = 21 meV/atom
density of states at the Fermi level = 0.704 states/eV per atom
volume = 16.6 Å³ per atom


No. 5
First-principles (PBE-GGA) data for a relaxed KRe crystal, as listed in the Alexandria database.

```
KRe
1.0
12.450 0.000 0.000
0.000 12.450 0.000
0.000 0.000 3.248
K Re
8 8
Cartesian
0.017 4.309 0.000
3.391 6.247 1.624
4.309 12.433 0.000
6.203 3.391 1.624
6.247 9.059 1.624
8.141 0.017 0.000
9.059 6.203 1.624
12.433 8.141 0.000
1.334 11.105 1.624
1.346 1.334 1.624
2.549 9.883 0.000
2.567 2.549 0.000
9.883 9.902 0.000
9.902 2.567 0.000
11.105 11.117 1.624
11.117 1.346 1.624
```

Summary:
DFT formation energy = 1064 meV/atom
density of states at the Fermi level = 0.781 states/eV per atom
volume = 31.5 Å³ per atom


No. 6
First-principles (PBE-GGA) data for a relaxed ZnInMo crystal, as listed in the Alexandria database.

```
ZnInMo
1.0
0.000 2.299 6.799
1.721 0.000 6.799
1.721 2.299 0.000
Zn In Mo
1 1 1
Cartesian
0.000 0.000 0.000
1.721 2.299 4.362
1.721 2.299 8.833
```

Summary:
DFT formation energy = 374 meV/atom
density of states at the Fermi level = 0.821 states/eV per atom
volume = 17.9 Å³ per atom


No. 7
First-principles (PBE-GGA) data for a relaxed SiNi2Te crystal, as listed in the Alexandria database.

```
SiNi2Te
1.0
3.253 -1.875 0.000
3.253 1.875 0.000
-2.185 0.000 5.166
Si Ni Te
1 2 1
Cartesian
0.000 0.000 0.000
-0.016 0.000 4.386
4.337 0.000 0.780
2.160 0.000 2.583
```

Summary:
energy relative to the elements, uncorrected = -0.15 eV per atom
density of states at the Fermi level = 0.445 states/eV per atom
volume = 15.8 Å³ per atom


No. 8
First-principles (PBE-GGA) data for a relaxed NaHgS2Cl crystal, as listed in the Alexandria database.

```
NaHgS2Cl
1.0
5.363 0.000 0.000
0.000 5.363 0.000
0.000 0.000 5.136
Na Hg S Cl
1 1 2 1
Cartesian
0.000 0.000 0.000
2.682 2.682 2.568
0.000 2.682 0.000
2.682 0.000 0.000
0.000 0.000 2.568
```

Summary:
energy relative to the elements, uncorrected = 0.42 eV per atom
density of states at the Fermi level = 0.920 states/eV per atom
volume = 29.5 Å³ per atom


No. 9
First-principles (PBE-GGA) data for a relaxed CaPrSn crystal, as listed in the Alexandria database.

```
CaPrSn
1.0
-2.145 2.145 4.969
2.145 -2.145 4.969
2.145 2.145 -4.969
Ca Pr Sn
1 1 1
Cartesian
0.000 0.000 0.000
0.000 0.000 6.731
0.000 0.000 3.367
```

Summary:
DFT formation energy = -367 meV/atom
density of states at the Fermi level = 1.243 states/eV per atom
volume = 30.5 Å³ per atom


No. 10
First-principles (PBE-GGA) data for a relaxed CaCd2TeC crystal, as listed in the Alexandria database.

```
CaCd2TeC
1.0
4.520 0.000 0.000
0.000 4.520 0.000
0.000 0.000 5.478
Ca Cd Te C
1 2 1 1
Cartesian
0.000 0.000 0.000
0.000 2.260 2.739
2.260 0.000 2.739
2.260 2.260 0.000
0.000 0.000 2.739
```

Summary:
energy relative to the elements, uncorrected = -0.01 eV per atom
density of states at the Fermi level = 0.010 states/eV per atom
volume = 22.4 Å³ per atom


No. 11
First-principles (PBE-GGA) data for a relaxed Ho2ScAu crystal, as listed in the Alexandria database.

```
Ho2ScAu
1.0
1.798 1.038 9.634
-1.798 1.038 9.634
0.000 -2.076 9.634
Ho Sc Au
2 1 1
Cartesian
0.000 0.000 0.000
0.000 0.000 5.332
0.000 0.000 12.304
0.000 0.000 17.108
```

Summary:
DFT formation energy = -249 meV/atom
density of states at the Fermi level = 1.484 states/eV per atom
volume = 27.0 Å³ per atom


No. 12
First-principles (PBE-GGA) data for a relaxed RbAgBr3 crystal, as listed in the Alexandria database.

```
RbAgBr3
1.0
-3.323 6.946 3.868
3.323 -6.946 3.868
3.323 6.946 -3.868
Rb Ag Br
2 2 6
Cartesian
0.000 0.000 0.000
0.000 6.946 0.000
-1.661 3.473 1.934
1.661 3.473 1.934
3.323 1.439 0.709
3.323 -3.473 3.695
3.323 5.507 0.709
0.000 1.439 3.158
0.000 10.419 0.173
0.000 5.507 3.158
```

Summary:
energy relative to the elements, uncorrected = -0.80 eV per atom
density of states at the Fermi level = 0.834 states/eV per atom
volume = 35.7 Å³ per atom


No. 13
First-principles (PBE-GGA) data for a relaxed HgPPb2 crystal, as listed in the Alexandria database.

```
HgPPb2
1.0
3.661 0.000 0.000
0.000 3.636 0.000
-0.009 0.000 8.146
Hg P Pb
1 1 2
Cartesian
0.000 0.000 0.000
-0.004 0.000 4.073
1.819 1.818 2.448
1.834 1.818 5.698
```

Summary:
DFT formation energy = 120 meV/atom
density of states at the Fermi level = 0.342 states/eV per atom
volume = 27.1 Å³ per atom


No. 14
First-principles (PBE-GGA) data for a relaxed FeAg2Te crystal, as listed in the Alexandria database.

```
FeAg2Te
1.0
2.776 -5.280 0.000
2.776 5.280 0.000
-1.874 0.000 2.635
Fe Ag Te
1 2 1
Cartesian
0.000 0.000 0.000
1.388 2.640 0.000
1.388 -2.640 0.000
2.776 0.000 0.000
```

Summary:
energy relative to the elements, uncorrected = 0.40 eV per atom
density of states at the Fermi level = 0.718 states/eV per atom
volume = 19.3 Å³ per atom


No. 15
First-principles (PBE-GGA) data for a relaxed KReTe2 crystal, as listed in the Alexandria database.

```
KReTe2
1.0
0.000 3.549 3.549
3.549 0.000 3.549
3.549 3.549 0.000
K Re Te
1 1 2
Cartesian
0.000 0.000 0.000
3.549 3.549 3.549
1.775 1.775 1.775
5.324 5.324 5.324
```

Summary:
energy relative to the elements, uncorrected = 0.51 eV per atom
density of states at the Fermi level = 0.076 states/eV per atom
volume = 22.4 Å³ per atom


No. 16
First-principles (PBE-GGA) data for a relaxed PtW2 crystal, as listed in the Alexandria database.

```
PtW2
1.0
5.661 0.000 0.000
0.000 3.936 0.000
0.000 0.000 8.521
Pt W
4 8
Cartesian
0.688 0.984 0.718
2.142 2.952 4.979
3.518 0.984 3.543
4.972 2.952 7.803
0.672 0.984 3.560
0.782 0.984 6.454
2.049 2.952 2.193
2.158 2.952 7.821
3.502 0.984 0.701
3.612 0.984 6.328
4.879 2.952 2.067
4.989 2.952 4.961
```

Summary:
DFT formation energy = -68 meV/atom
density of states at the Fermi level = 0.767 states/eV per atom
volume = 15.8 Å³ per atom


No. 17
First-principles (PBE-GGA) data for a relaxed CrFe3Sb crystal, as listed in the Alexandria database.

```
CrFe3Sb
1.0
4.306 0.000 0.000
0.000 4.306 0.000
0.000 0.000 4.306
Cr Fe Sb
1 3 1
Cartesian
0.000 0.000 0.000
0.000 0.000 2.153
0.000 2.153 0.000
2.153 0.000 0.000
2.153 2.153 2.153
```

Summary:
energy relative to the elements, uncorrected = 1.01 eV per atom
density of states at the Fermi level = 1.473 states/eV per atom
volume = 16.0 Å³ per atom


No. 18
First-principles (PBE-GGA) data for a relaxed YCoAs crystal, as listed in the Alexandria database.

```
YCoAs
1.0
-1.612 1.612 5.134
1.612 -1.612 5.134
1.612 1.612 -5.134
Y Co As
1 1 1
Cartesian
0.000 0.000 0.000
0.000 0.000 3.150
0.000 0.000 7.284
```

Summary:
DFT formation energy = -361 meV/atom
density of states at the Fermi level = 1.341 states/eV per atom
volume = 17.8 Å³ per atom


No. 19
First-principles (PBE-GGA) data for a relaxed La8TbSm4 crystal, as listed in the Alexandria database.

```
La8TbSm4
1.0
5.956 3.438 3.982
-5.956 3.438 3.982
0.000 -6.877 3.982
La Tb Sm
8 1 4
Cartesian
0.000 -3.447 4.040
-2.986 1.724 4.040
0.000 0.000 2.853
-2.986 -1.724 7.906
2.985 1.724 4.039
0.000 0.000 9.093
2.985 -1.724 7.906
0.000 3.447 7.906
0.000 0.000 5.973
0.000 0.000 0.000
-2.978 -1.719 3.982
-2.978 1.719 7.964
0.000 3.438 3.982
```

Summary:
DFT formation energy = 369 meV/atom
density of states at the Fermi level = 2.156 states/eV per atom
volume = 37.6 Å³ per atom


No. 20
First-principles (PBE-GGA) data for a relaxed GaHS2Cl crystal, as listed in the Alexandria database.

```
GaHS2Cl
1.0
3.768 0.000 0.000
0.000 3.768 0.000
0.000 0.000 6.736
Ga H S Cl
1 1 2 1
Cartesian
0.000 0.000 0.000
1.884 1.884 3.368
0.000 1.884 3.368
1.884 0.000 3.368
1.884 1.884 0.000
```

Summary:
total DFT energy (no corrections) = -15.09 eV/cell
density of states at the Fermi level = 0.560 states/eV per atom
volume = 19.1 Å³ per atom


No. 21
First-principles (PBE-GGA) data for a relaxed BaCoCl crystal, as listed in the Alexandria database.

```
BaCoCl
1.0
9.222 -2.023 0.000
9.222 2.023 0.000
-0.585 0.000 4.928
Ba Co Cl
2 2 2
Cartesian
0.000 0.000 0.000
12.880 0.000 4.358
2.778 0.000 1.699
11.040 0.000 1.880
6.077 0.000 4.697
8.846 0.000 2.531
```

Summary:
energy relative to the elements, uncorrected = -0.79 eV per atom
density of states at the Fermi level = 0.304 states/eV per atom
volume = 30.6 Å³ per atom


No. 22
First-principles (PBE-GGA) data for a relaxed NaP2CS crystal, as listed in the Alexandria database.

```
NaP2CS
1.0
3.968 0.000 0.000
0.000 3.968 0.000
0.000 0.000 5.153
Na P C S
1 2 1 1
Cartesian
0.000 0.000 0.000
0.000 1.984 2.576
1.984 0.000 2.576
1.984 1.984 2.576
1.984 1.984 0.000
```

Summary:
energy relative to the elements, uncorrected = 0.91 eV per atom
density of states at the Fermi level = 0.560 states/eV per atom
volume = 16.2 Å³ per atom


No. 23
First-principles (PBE-GGA) data for a relaxed Co crystal, as listed in the Alexandria database.

```
Co
1.0
-2.354 2.354 4.336
2.354 -2.354 4.336
2.354 2.354 -4.336
Co
8
Cartesian
3.173 -0.359 1.084
0.819 0.359 1.084
0.819 -0.359 3.252
0.819 2.713 -1.084
1.536 -0.359 5.420
1.536 2.713 1.084
1.536 1.996 3.252
-0.819 2.713 3.252
```

Summary:
DFT formation energy = 504 meV/atom
density of states at the Fermi level = 1.474 states/eV per atom
volume = 12.0 Å³ per atom


No. 24
First-principles (PBE-GGA) data for a relaxed HfCdBF2 crystal, as listed in the Alexandria database.

```
HfCdBF2
1.0
4.006 0.000 0.000
0.000 4.006 0.000
0.000 0.000 6.009
Hf Cd B F
1 1 1 2
Cartesian
0.000 0.000 0.000
0.000 0.000 3.005
2.003 2.003 3.005
0.000 2.003 0.000
2.003 0.000 0.000
```

Summary:
energy relative to the elements, uncorrected = -0.84 eV per atom
density of states at the Fermi level = 0.508 states/eV per atom
volume = 19.3 Å³ per atom


No. 25
First-principles (PBE-GGA) data for a relaxed NdZn10Au2 crystal, as listed in the Alexandria database.

```
NdZn10Au2
1.0
0.000 6.340 6.387
2.727 0.000 6.387
2.727 6.340 0.000
Nd Zn Au
1 10 2
Cartesian
0.000 0.000 0.000
1.363 0.000 3.193
2.727 4.107 2.297
2.727 4.995 4.958
2.727 8.573 2.297
2.727 7.685 4.958
1.363 6.340 3.193
2.727 4.995 7.816
2.727 4.107 10.476
2.727 7.685 7.816
2.727 8.573 10.476
1.363 3.170 0.000
1.363 3.170 6.387
```

Summary:
DFT formation energy = -217 meV/atom
density of states at the Fermi level = 0.361 states/eV per atom
volume = 17.0 Å³ per atom